[1]
DFT (PBE-GGA) results for an optimized crystal structure of RbNaCd2Cl6.

Summary:
E_tot   -58.11 eV/cell
Energy relative to the elements, uncorrected   -1.39 eV/atom
Volume   33.4 A^3/atom
Calculated density   2.7 Mg/m³
Crystal system   monoclinic

a = 7.254 Å, b = 9.631 Å, c = 9.631 Å
α = 90.31°, β = 84.72°, γ = 84.72°
Fractional positions:
Rb 0.250 0.904 0.096
Rb 0.750 0.096 0.904
Na 0.250 0.283 0.717
Na 0.750 0.717 0.283
Cd 0.224 0.783 0.607
Cd 0.276 0.393 0.217
Cd 0.776 0.217 0.393
Cd 0.724 0.607 0.783
Cl 0.170 0.984 0.772
Cl 0.330 0.228 0.016
Cl 0.830 0.016 0.228
Cl 0.670 0.772 0.984
Cl 0.409 0.832 0.391
Cl 0.091 0.609 0.168
Cl 0.591 0.168 0.609
Cl 0.909 0.391 0.832
Cl 0.896 0.715 0.570
Cl 0.604 0.430 0.285
Cl 0.104 0.285 0.430
Cl 0.396 0.570 0.715

[2]
DFT (PBE-GGA) results for an optimized crystal structure of Rb2NaCdCl.

Summary:
E_tot   -9.16 eV/cell
Energy relative to the elements, uncorrected   -0.63 eV/atom
Volume   46.2 A^3/atom
Calculated density   2.5 Mg/m³
Crystal system   tetragonal

a = 6.504 Å, b = 6.504 Å, c = 5.455 Å
α = 90.00°, β = 90.00°, γ = 90.00°
Fractional positions:
Na 0.000 0.000 0.500
Cl 0.000 0.000 0.000
Rb 0.000 0.500 0.000
Rb 0.500 0.000 0.000
Cd 0.500 0.500 0.500